[1]
Crystalline Tb4MgScS8 at its relaxed geometry, computed with GGA-PBE.

a = 7.9746 Å, b = 7.9746 Å, c = 7.8770 Å
α = 59.59°, β = 59.59°, γ = 60.00°
Closest atoms and distances in Å follow each position.
Atoms (fractional coordinates):
Tb1 0.6221 0.6221 0.1338  4 S 2.59-2.62
Tb2 0.0024 0.4925 0.5027  6 S 2.74-2.77
Tb3 0.4925 0.0024 0.5027  6 S 2.74-2.77
Tb4 0.0024 0.0024 0.5027  6 S 2.74-2.77
Mg1 0.3756 0.3756 0.8732  4 S 2.48-2.52
Sc1 0.0034 0.0034 0.9899  6 S 2.65-2.66
S1 0.2402 0.7636 0.7560  1 Mg 2.52, 1 Sc 2.66, 2 Tb 2.75
S2 0.7636 0.2402 0.7560  1 Mg 2.52, 1 Sc 2.66, 2 Tb 2.75
S3 0.2402 0.2402 0.7560  1 Mg 2.52, 1 Sc 2.66, 2 Tb 2.75
S4 0.2464 0.2464 0.2607  1 Mg 2.48, 3 Tb 2.74
S5 0.7670 0.2200 0.2460  3 Tb 2.62-2.77, 1 Sc 2.65
S6 0.2200 0.7670 0.2460  3 Tb 2.62-2.77, 1 Sc 2.65
S7 0.7670 0.7670 0.2460  3 Tb 2.62-2.77, 1 Sc 2.65
S8 0.7573 0.7573 0.7282  4 Tb 2.59-2.75

## Properties
- E_form (uncorrected) (eV per formula unit) = -26.407
- space-group type = No. 160


[2]
Crystalline CsCoHg2 at its relaxed geometry, computed with GGA-PBE.

a = 5.6476 Å, b = 5.6476 Å, c = 5.6476 Å
α = 60.00°, β = 60.00°, γ = 60.00°
Closest atoms and distances in Å follow each position.
Atoms (fractional coordinates):
Cs1 0.5000 0.5000 0.5000  8 Hg 3.46
Co1 0.0000 0.0000 0.0000  8 Hg 3.46
Hg1 0.2500 0.2500 0.2500  4 Co 3.46, 4 Cs 3.46
Hg2 0.7500 0.7500 0.7500  4 Co 3.46, 4 Cs 3.46

## Properties
- energy of formation from the pure elements (eV/atom) = 0.65
- space-group type = No. 225


[3]
Crystalline InSbP at its relaxed geometry, computed with GGA-PBE.

a = 4.2164 Å, b = 4.8279 Å, c = 8.9280 Å
α = 81.03°, β = 79.40°, γ = 81.01°
Closest atoms and distances in Å follow each position.
Atoms (fractional coordinates):
In1 0.7356 0.3054 0.0911  3 P 2.60-2.66
In2 0.3642 0.8028 0.4557  2 P 2.60-2.61, 1 Sb 2.87
Sb1 0.3133 0.2452 0.6434  2 In 2.87-2.96, 2 Sb 2.90-2.92
Sb2 0.7899 0.9741 0.8382  2 Sb 2.90-2.92, 1 In 2.92, 1 P 3.07
P1 0.1745 0.6327 0.0820  1 P 2.21
P2 0.9266 0.8523 0.2799  1 P 2.21

## Properties
- E_form (uncorrected) (eV per formula unit) = 0.178
- energy above the lowest structure with this stoichiometry (meV per atom) = 60
- space-group type = No. 1


[4]
Crystalline CsAlP2Cl at its relaxed geometry, computed with GGA-PBE.

a = 5.9617 Å, b = 5.9617 Å, c = 6.2650 Å
α = 90.00°, β = 90.00°, γ = 90.00°
Closest atoms and distances in Å follow each position.
Atoms (fractional coordinates):
Cs1 0.0000 0.0000 0.0000  4 P 2.98, 2 Cl 3.13
P1 0.0000 0.5000 0.0000  2 Cs 2.98
P2 0.5000 0.0000 0.0000  2 Cs 2.98
Al1 0.5000 0.5000 0.5000  4 Cl 4.22, 8 P 4.32
Cl1 0.0000 0.0000 0.5000  2 Cs 3.13

## Properties
- E_form (uncorrected) (eV per formula unit) = 6.288
- energy above the lowest structure with this stoichiometry (meV per atom) = 1467
- space-group type = No. 123


[5]
Crystalline Sm8InBi2 at its relaxed geometry, computed with GGA-PBE.

a = 6.0364 Å, b = 8.4971 Å, c = 8.4971 Å
α = 118.71°, β = 99.49°, γ = 99.49°
Closest atoms and distances in Å follow each position.
Atoms (fractional coordinates):
Sm1 0.8527 0.9114 0.6879  2 Bi 3.24-3.28, 4 Sm 3.27-3.62, 1 In 3.55
Sm2 0.8527 0.6879 0.9114  2 Bi 3.24-3.28, 4 Sm 3.27-3.62, 1 In 3.55
Sm3 0.2932 0.6040 0.6040  1 In 3.25, 2 Bi 3.32, 2 Sm 3.41-3.52
Sm4 0.5000 0.7713 0.2287  2 Bi 3.22, 1 In 3.34, 2 Sm 3.59
Sm5 0.5000 0.2287 0.7713  2 Bi 3.22, 1 In 3.34, 2 Sm 3.59
Sm6 0.7068 0.3960 0.3960  1 In 3.25, 2 Bi 3.32, 2 Sm 3.41-3.52
Sm7 0.1473 0.3121 0.0886  2 Bi 3.24-3.28, 4 Sm 3.27-3.62, 1 In 3.55
Sm8 0.1473 0.0886 0.3121  2 Bi 3.24-3.28, 4 Sm 3.27-3.62, 1 In 3.55
In1 0.5000 0.0000 0.0000  8 Sm 3.25-3.55
Bi1 0.0000 0.3050 0.6950  8 Sm 3.22-3.32
Bi2 0.0000 0.6950 0.3050  8 Sm 3.22-3.32

## Properties
- energy of formation from the pure elements (eV/atom) = -0.26
- space-group type = No. 12


[6]
Crystalline BeCuPt3 at its relaxed geometry, computed with GGA-PBE.

a = 4.5311 Å, b = 4.5311 Å, c = 4.5311 Å
α = 90.00°, β = 90.00°, γ = 90.00°
Closest atoms and distances in Å follow each position.
Atoms (fractional coordinates):
Be1 0.5000 0.5000 0.5000  12 Pt 3.20
Cu1 0.0000 0.0000 0.0000  6 Pt 2.27
Pt1 0.0000 0.5000 0.0000  2 Cu 2.27
Pt2 0.0000 0.0000 0.5000  2 Cu 2.27
Pt3 0.5000 0.0000 0.0000  2 Cu 2.27

## Properties
- energy of formation from the pure elements (eV/atom) = 1.14
- energy above the lowest structure with this stoichiometry (meV per atom) = 1508
- space-group type = No. 221


[7]
Crystalline AcCePtRh at its relaxed geometry, computed with GGA-PBE.

a = 5.1530 Å, b = 5.1530 Å, c = 5.1530 Å
α = 60.00°, β = 60.00°, γ = 60.00°
Closest atoms and distances in Å follow each position.
Atoms (fractional coordinates):
Ac1 0.5000 0.5000 0.5000  4 Pt 3.16, 4 Rh 3.16
Rh1 0.7500 0.7500 0.7500  4 Ac 3.16, 4 Ce 3.16
Ce1 0.0000 0.0000 0.0000  4 Rh 3.16, 4 Pt 3.16
Pt1 0.2500 0.2500 0.2500  4 Ce 3.16, 4 Ac 3.16

## Properties
- energy of formation from the pure elements (eV/atom) = -0.76
- energy above the lowest structure with this stoichiometry (meV per atom) = 100
- space-group type = No. 216


[8]
Crystalline MgCoCu at its relaxed geometry, computed with GGA-PBE.

a = 3.0754 Å, b = 4.1351 Å, c = 6.6556 Å
α = 90.00°, β = 103.36°, γ = 90.00°
Closest atoms and distances in Å follow each position.
Atoms (fractional coordinates):
Cu1 0.6006 0.2500 0.2012  2 Co 2.47, 4 Mg 2.59
Cu2 0.3994 0.7500 0.7988  2 Co 2.47, 4 Mg 2.59
Mg1 0.9166 0.2500 0.8331  6 Cu 2.59-2.84, 2 Co 2.65
Mg2 0.0834 0.7500 0.1669  6 Cu 2.59-2.84, 2 Co 2.65
Co1 0.2499 0.2500 0.4998  2 Cu 2.47, 4 Co 2.58, 2 Mg 2.65
Co2 0.7501 0.7500 0.5002  2 Cu 2.47, 4 Co 2.58, 2 Mg 2.65

## Properties
- energy of formation from the pure elements (eV/atom) = 0.08
- energy above the lowest structure with this stoichiometry (meV per atom) = 96
- space-group type = No. 63


[9]
Crystalline LaFe2Hg at its relaxed geometry, computed with GGA-PBE.

a = 4.5340 Å, b = 4.5340 Å, c = 5.4157 Å
α = 65.14°, β = 65.14°, γ = 59.89°
Closest atoms and distances in Å follow each position.
Atoms (fractional coordinates):
Fe1 0.0653 0.0653 0.8029  1 La 2.62, 3 Hg 2.63, 3 Fe 2.66-2.67
Fe2 0.4347 0.4347 0.6971  1 La 2.62, 3 Hg 2.63, 3 Fe 2.66-2.67
Hg1 0.7500 0.7500 0.7500  6 Fe 2.63
La1 0.2500 0.2500 0.2500  2 Fe 2.62

## Properties
- energy of formation from the pure elements (eV/atom) = 0.15
- space-group type = No. 12


[10]
Crystalline NaUPb2S6 at its relaxed geometry, computed with GGA-PBE.

a = 6.9261 Å, b = 7.6552 Å, c = 10.1446 Å
α = 90.00°, β = 86.67°, γ = 90.00°
Closest atoms and distances in Å follow each position.
Atoms (fractional coordinates):
Na1 0.5000 0.0000 0.0000  6 S 2.81-3.02
Na2 0.0000 0.5000 0.5000  6 S 2.81-3.02
U1 0.5000 0.0000 0.5000  6 S 2.53-2.59
U2 0.0000 0.5000 0.0000  6 S 2.53-2.59
Pb1 0.0186 0.9277 0.2963  5 S 2.84-3.04
Pb2 0.5186 0.5723 0.7963  5 S 2.84-3.04
Pb3 0.9814 0.0723 0.7037  5 S 2.84-3.04
Pb4 0.4814 0.4277 0.2037  5 S 2.84-3.04
S1 0.3102 0.6775 0.0392  1 U 2.59, 1 Na 2.81, 2 Pb 2.84-2.90
S2 0.8102 0.8225 0.5392  1 U 2.59, 1 Na 2.81, 2 Pb 2.84-2.90
S3 0.6898 0.3225 0.9608  1 U 2.59, 1 Na 2.81, 2 Pb 2.84-2.90
S4 0.1898 0.1775 0.4608  1 U 2.59, 1 Na 2.81, 2 Pb 2.84-2.90
S5 0.3380 0.7291 0.4123  1 U 2.54
S6 0.8380 0.7709 0.9123  1 U 2.54
S7 0.6620 0.2709 0.5877  1 U 2.54
S8 0.1620 0.2291 0.0877  1 U 2.54
S9 0.8719 0.5651 0.2337  1 U 2.53
S10 0.3719 0.9349 0.7337  1 U 2.53
S11 0.1281 0.4349 0.7663  1 U 2.53
S12 0.6281 0.0651 0.2663  1 U 2.53

## Properties
- E_form (uncorrected) (eV per formula unit) = -7.675
- space-group type = No. 14


[11]
Crystalline NiMo4Au at its relaxed geometry, computed with GGA-PBE.

a = 5.1796 Å, b = 5.1796 Å, c = 5.1796 Å
α = 60.00°, β = 60.00°, γ = 60.00°
Closest atoms and distances in Å follow each position.
Atoms (fractional coordinates):
Ni1 0.7500 0.7500 0.7500  12 Mo 3.04, 4 Au 3.17
Mo1 0.8737 0.3754 0.3754  6 Mo 2.58-2.60
Mo2 0.3754 0.3754 0.8737  6 Mo 2.58-2.60
Mo3 0.3754 0.8737 0.3754  6 Mo 2.58-2.60
Mo4 0.3754 0.3754 0.3754  6 Mo 2.58-2.60
Au1 0.0000 0.0000 0.0000  12 Mo 3.04, 4 Ni 3.17

## Properties
- energy of formation from the pure elements (eV/atom) = 0.47
- space-group type = No. 216


[12]
Crystalline Sr3Cd4Sn4 at its relaxed geometry, computed with GGA-PBE.

a = 5.0798 Å, b = 7.6602 Å, c = 9.4054 Å
α = 114.03°, β = 105.67°, γ = 90.00°
Closest atoms and distances in Å follow each position.
Atoms (fractional coordinates):
Sr1 0.1242 0.1242 0.2483  6 Cd 3.52-3.72, 6 Sn 3.57-3.64
Sr2 0.8758 0.8758 0.7517  6 Cd 3.52-3.72, 6 Sn 3.57-3.64
Sr3 0.0000 0.5000 0.0000  6 Sn 3.48-3.56
Cd1 0.3319 0.1367 0.6639  4 Sn 2.89-3.05, 1 Cd 2.99
Cd2 0.6681 0.4729 0.3361  4 Sn 2.89-3.05, 1 Cd 2.99
Cd3 0.6681 0.8633 0.3361  4 Sn 2.89-3.05, 1 Cd 2.99
Cd4 0.3319 0.5271 0.6639  4 Sn 2.89-3.05, 1 Cd 2.99
Sn1 0.2169 0.7169 0.4337  6 Cd 3.00-3.05
Sn2 0.7831 0.2831 0.5663  6 Cd 3.00-3.05
Sn3 0.5000 0.8099 0.0000  2 Cd 2.89, 1 Sn 2.91
Sn4 0.5000 0.1901 0.0000  2 Cd 2.89, 1 Sn 2.91

## Properties
- energy of formation from the pure elements (eV/atom) = -0.45
- space-group type = No. 71


[13]
Crystalline Cd4InPb at its relaxed geometry, computed with GGA-PBE.

a = 3.4361 Å, b = 5.1417 Å, c = 8.6785 Å
α = 89.99°, β = 89.91°, γ = 90.00°
Closest atoms and distances in Å follow each position.
Atoms (fractional coordinates):
Cd1 0.6689 0.9974 0.1533  5 Cd 3.09-3.44, 2 In 3.22, 4 Pb 3.28
Cd2 0.6676 0.9973 0.7969  7 Cd 3.09-3.44, 2 In 3.34
Cd3 0.1666 0.4972 0.6739  1 Pb 3.07, 2 In 3.14, 8 Cd 3.15-3.44
Cd4 0.6677 0.4973 0.3696  6 Cd 3.15-3.44, 4 In 3.21, 2 Pb 3.43
In1 0.1677 0.9972 0.4671  10 Cd 3.14-3.34, 2 In 3.44
Pb1 0.1693 0.4974 0.0281  7 Cd 3.07-3.43, 2 Pb 3.44

## Properties
- energy of formation from the pure elements (eV/atom) = 0.05
- energy above the lowest structure with this stoichiometry (meV per atom) = 0
- space-group type = No. 6


[14]
Crystalline DyY2HoEr at its relaxed geometry, computed with GGA-PBE.

a = 7.2137 Å, b = 8.3556 Å, c = 7.0490 Å
α = 126.35°, β = 90.00°, γ = 90.00°
Closest atoms and distances in Å follow each position.
Atoms (fractional coordinates):
Dy1 0.2500 0.7259 0.4518  1 Ho 3.11
Dy2 0.7500 0.2741 0.5482  1 Ho 3.11
Y1 0.5000 0.3086 0.0000  2 Ho 3.15, 1 Y 3.20, 2 Er 3.51, 2 Dy 3.52
Y2 0.0000 0.6914 0.0000  2 Ho 3.15, 1 Y 3.20, 2 Er 3.51, 2 Dy 3.52
Y3 0.5000 0.6914 0.0000  2 Ho 3.15, 1 Y 3.20, 2 Er 3.51, 2 Dy 3.52
Y4 0.0000 0.3086 0.0000  2 Ho 3.15, 1 Y 3.20, 2 Er 3.51, 2 Dy 3.52
Ho1 0.2500 0.9996 0.9993  1 Dy 3.11, 1 Er 3.13, 4 Y 3.15
Ho2 0.7500 0.0004 0.0007  1 Dy 3.11, 1 Er 3.13, 4 Y 3.15
Er1 0.7500 0.7245 0.4491  1 Ho 3.13
Er2 0.2500 0.2755 0.5509  1 Ho 3.13

## Properties
- energy of formation from the pure elements (eV/atom) = 0.42
- space-group type = No. 63


[15]
Crystalline RbNa2LiI4 at its relaxed geometry, computed with GGA-PBE.

a = 4.6980 Å, b = 8.3482 Å, c = 16.2279 Å
α = 90.00°, β = 90.00°, γ = 106.34°
Closest atoms and distances in Å follow each position.
Atoms (fractional coordinates):
Rb1 0.1178 0.2356 0.7500  6 I 3.73-3.76
Rb2 0.8822 0.7644 0.2500  6 I 3.73-3.76
Na1 0.3721 0.7442 0.5501  6 I 3.22-3.41
Na2 0.6279 0.2558 0.0501  6 I 3.22-3.41
Na3 0.6279 0.2558 0.4499  6 I 3.22-3.41
Na4 0.3721 0.7442 0.9499  6 I 3.22-3.41
Li1 0.8430 0.6861 0.7500  4 I 2.73-2.79
Li2 0.1570 0.3139 0.2500  4 I 2.73-2.79
I1 0.2595 0.5189 0.1157  1 Li 2.73
I2 0.7405 0.4811 0.6157  1 Li 2.73
I3 0.7405 0.4811 0.8843  1 Li 2.73
I4 0.2595 0.5189 0.3843  1 Li 2.73
I5 0.0000 0.0000 0.5000  4 Na 3.22
I6 0.0000 0.0000 0.0000  4 Na 3.22
I7 0.4371 0.8742 0.7500  2 Li 2.79
I8 0.5629 0.1258 0.2500  2 Li 2.79

## Properties
- E_form (uncorrected) (eV per formula unit) = -10.364
- space-group type = No. 63


[16]
Crystalline PuScMnOs at its relaxed geometry, computed with GGA-PBE.

a = 4.6686 Å, b = 4.6686 Å, c = 4.6686 Å
α = 60.00°, β = 60.00°, γ = 60.00°
Closest atoms and distances in Å follow each position.
Atoms (fractional coordinates):
Sc1 0.0000 0.0000 0.0000  4 Os 2.86, 4 Mn 2.86
Mn1 0.7500 0.7500 0.7500  4 Sc 2.86, 4 Pu 2.86
Os1 0.2500 0.2500 0.2500  4 Pu 2.86, 4 Sc 2.86
Pu1 0.5000 0.5000 0.5000  4 Mn 2.86, 4 Os 2.86

## Properties
- energy of formation from the pure elements (eV/atom) = -0.14
- space-group type = No. 216


[17]
Crystalline LiReTc2 at its relaxed geometry, computed with GGA-PBE.

a = 4.2843 Å, b = 4.2843 Å, c = 4.2843 Å
α = 60.00°, β = 60.00°, γ = 60.00°
Closest atoms and distances in Å follow each position.
Atoms (fractional coordinates):
Li1 0.5000 0.5000 0.5000  4 Re 2.62, 4 Tc 2.62
Re1 0.7500 0.7500 0.7500  4 Tc 2.62, 4 Li 2.62
Tc1 0.0000 0.0000 0.0000  4 Tc 2.62, 4 Re 2.62
Tc2 0.2500 0.2500 0.2500  4 Tc 2.62, 4 Li 2.62

## Properties
- energy of formation from the pure elements (eV/atom) = 0.26
- energy above the lowest structure with this stoichiometry (meV per atom) = 132
- space-group type = No. 216


[18]
Crystalline BSb2TePb at its relaxed geometry, computed with GGA-PBE.

a = 5.7391 Å, b = 5.9830 Å, c = 5.7391 Å
α = 90.00°, β = 90.00°, γ = 90.00°
Closest atoms and distances in Å follow each position.
Atoms (fractional coordinates):
Pb1 0.0000 0.5000 0.0000  2 Te 2.99
Sb1 0.0000 0.0000 0.5000  2 Te 2.87
Sb2 0.5000 0.0000 0.0000  2 Te 2.87
B1 0.5000 0.5000 0.5000  4 Pb 4.06, 8 Sb 4.15
Te1 0.0000 0.0000 0.0000  4 Sb 2.87, 2 Pb 2.99

## Properties
- E_form (uncorrected) (eV per formula unit) = 8.104
- energy above the lowest structure with this stoichiometry (meV per atom) = 1037
- space-group type = No. 123


[19]
Crystalline SmDyHoTl at its relaxed geometry, computed with GGA-PBE.

a = 5.4961 Å, b = 5.4961 Å, c = 5.4961 Å
α = 60.00°, β = 60.00°, γ = 60.00°
Closest atoms and distances in Å follow each position.
Atoms (fractional coordinates):
Tl1 0.0000 0.0000 0.0000  4 Dy 3.37, 4 Sm 3.37
Ho1 0.5000 0.5000 0.5000  4 Sm 3.37, 4 Dy 3.37
Sm1 0.7500 0.7500 0.7500  4 Tl 3.37, 4 Ho 3.37
Dy1 0.2500 0.2500 0.2500  4 Ho 3.37, 4 Tl 3.37

## Properties
- energy of formation from the pure elements (eV/atom) = -0.04
- energy above the lowest structure with this stoichiometry (meV per atom) = 141
- space-group type = No. 216


[20]
Crystalline YZnCr4 at its relaxed geometry, computed with GGA-PBE.

a = 5.0167 Å, b = 5.0167 Å, c = 5.0167 Å
α = 60.00°, β = 60.00°, γ = 60.00°
Closest atoms and distances in Å follow each position.
Atoms (fractional coordinates):
Y1 0.2500 0.2500 0.2500  12 Cr 2.94, 4 Zn 3.07
Zn1 0.0000 0.0000 0.0000  12 Cr 2.94, 4 Y 3.07
Cr1 0.6262 0.6262 0.1215  6 Cr 2.49-2.53
Cr2 0.6262 0.1215 0.6262  6 Cr 2.49-2.53
Cr3 0.6262 0.6262 0.6262  6 Cr 2.49-2.53
Cr4 0.1215 0.6262 0.6262  6 Cr 2.49-2.53

## Properties
- energy of formation from the pure elements (eV/atom) = 0.37
- space-group type = No. 216